[1]
In2HgTe | Alexandria via LeMat-Bulk | meta-GGA SCAN | single point on PBEsol structure; magnetization = 0.00 Bohr magnetons per cell; SG = I4/mmm; formation energy from raw total energies = -0.025 eV/atom; total energy = -172.291 eV/cell; energy above the lowest structure with this stoichiometry = 147 meV/atom
1.0
5.360 0.000 0.000
2.680 4.634 0.047
2.680 1.487 4.389
In Hg Te
2 1 1
direct
0.250 0.750 0.750
0.750 0.250 0.250
0.500 0.000 0.000
0.000 0.500 0.500

=====

[2]
In2HgTe | Alexandria via LeMat-Bulk | meta-GGA SCAN | single point on PBEsol structure; magnetization = 0.00 Bohr magnetons per cell; SG = P4/mmm; formation energy from raw total energies = -0.041 eV/atom; total energy = -172.355 eV/cell; energy above the lowest structure with this stoichiometry = 131 meV/atom
1.0
-1.434 2.824 2.091
-3.178 -2.005 0.529
2.880 -2.982 6.003
Hg Te In
1 1 2
direct
0.500 0.500 0.500
0.500 0.500 0.000
0.000 0.000 0.250
0.000 0.000 0.750

=====

[3]
In2HgTe | Alexandria via LeMat-Bulk | meta-GGA SCAN | single point on PBEsol structure; magnetization = 0.00 Bohr magnetons per cell; SG = Imm2; formation energy from raw total energies = -0.075 eV/atom; total energy = -172.490 eV/cell; energy above the lowest structure with this stoichiometry = 97 meV/atom
1.0
-1.711 3.048 2.002
-3.843 -2.377 0.336
4.669 -2.665 3.996
In Hg Te
2 1 1
direct
0.234 0.734 0.467
0.960 0.960 0.921
0.770 0.270 0.540
0.536 0.536 0.071

=====

Among the records above, which one has the highest energy above the lowest structure with this stoichiometry?
number 1